# Ta2Mo5 | the Alexandria database | meta-GGA SCAN | PBEsol geometry
data_Ta2Mo5
_space_group_name_H-M_alt 'C 1 2/m 1'
_space_group_IT_number 12
_space_group_name_Hall '-C 2y'
_cell_length_a 18.152
_cell_length_b 4.463
_cell_length_c 2.755
_cell_angle_alpha 90.00
_cell_angle_beta 95.81
_cell_angle_gamma 90.00
loop_
_atom_site_label
_atom_site_type_symbol
_atom_site_fract_x
_atom_site_fract_y
_atom_site_fract_z
_atom_site_occupancy
Ta1 Ta 0.142 0.000 0.427 1
Mo1 Mo 0.000 0.000 0.000 1
Mo2 Mo 0.071 0.500 0.718 1
Mo3 Mo 0.214 0.500 0.133 1
# - Offset from the most stable computed form: 0.000 eV per atom
# - Total energy: -44.06 eV per atom
# - Total moment: 0.00 μB per formula unit


# Ta3Mo5 | the Alexandria database | meta-GGA SCAN | PBEsol geometry
data_Ta3Mo5
_space_group_name_H-M_alt 'P 1 2/m 1'
_space_group_IT_number 10
_space_group_name_Hall '-P 2y'
_cell_length_a 5.276
_cell_length_b 4.515
_cell_length_c 5.474
_cell_angle_alpha 90.00
_cell_angle_beta 100.20
_cell_angle_gamma 90.00
loop_
_atom_site_label
_atom_site_type_symbol
_atom_site_fract_x
_atom_site_fract_y
_atom_site_fract_z
_atom_site_occupancy
Ta1 Ta 0.000 0.000 0.000 1
Ta2 Ta 0.248 0.500 0.870 1
Mo1 Mo 0.000 0.000 0.500 1
Mo2 Mo 0.254 0.500 0.375 1
Mo3 Mo 0.500 0.000 0.251 1
# - Offset from the most stable computed form: 0.064 eV per atom
# - Total energy: -46.89 eV per atom
# - Total moment: 0.00 μB per formula unit


# Ta2Mo | the Alexandria database | meta-GGA SCAN | PBEsol geometry
data_Ta2Mo
_space_group_name_H-M_alt 'P 1 21/m 1'
_space_group_IT_number 11
_space_group_name_Hall '-P 2yb'
_cell_length_a 2.820
_cell_length_b 4.557
_cell_length_c 7.813
_cell_angle_alpha 90.00
_cell_angle_beta 91.09
_cell_angle_gamma 90.00
loop_
_atom_site_label
_atom_site_type_symbol
_atom_site_fract_x
_atom_site_fract_y
_atom_site_fract_z
_atom_site_occupancy
Ta1 Ta 0.009 0.250 0.243 1
Ta2 Ta 0.338 0.250 0.588 1
Mo1 Mo 0.339 0.750 0.081 1
# - Offset from the most stable computed form: 0.085 eV per atom
# - Total energy: -56.10 eV per atom
# - Total moment: 0.00 μB per formula unit


# TaMo2 | the Alexandria database | meta-GGA SCAN | PBEsol geometry
data_TaMo2
_space_group_name_H-M_alt 'P 1 2/m 1'
_space_group_IT_number 10
_space_group_name_Hall '-P 2y'
_cell_length_a 2.759
_cell_length_b 4.464
_cell_length_c 7.770
_cell_angle_alpha 90.00
_cell_angle_beta 90.22
_cell_angle_gamma 90.00
loop_
_atom_site_label
_atom_site_type_symbol
_atom_site_fract_x
_atom_site_fract_y
_atom_site_fract_z
_atom_site_occupancy
Ta1 Ta 0.175 0.000 0.329 1
Mo1 Mo 0.168 0.500 0.837 1
Mo2 Mo 0.500 0.000 0.000 1
Mo3 Mo 0.500 0.500 0.500 1
# - Total energy: -45.57 eV per atom
# - Total moment: 0.00 μB per formula unit


# Ta2Mo | the Alexandria database | meta-GGA SCAN | PBEsol geometry
data_Ta2Mo
_space_group_name_H-M_alt 'F m m m'
_space_group_IT_number 69
_space_group_name_Hall '-F 2 2'
_cell_length_a 3.192
_cell_length_b 4.682
_cell_length_c 13.448
_cell_angle_alpha 90.00
_cell_angle_beta 90.00
_cell_angle_gamma 90.00
loop_
_atom_site_label
_atom_site_type_symbol
_atom_site_fract_x
_atom_site_fract_y
_atom_site_fract_z
_atom_site_occupancy
Ta1 Ta 0.000 0.000 0.162 1
Mo1 Mo 0.000 0.000 0.500 1
# - Offset from the most stable computed form: 0.076 eV per atom
# - Total energy: -56.11 eV per atom
# - Total moment: 0.00 μB per formula unit


# Ta3Mo5 | the Alexandria database | meta-GGA SCAN | PBEsol geometry
data_Ta3Mo5
_space_group_name_H-M_alt 'I m m m'
_space_group_IT_number 71
_space_group_name_Hall '-I 2 2'
_cell_length_a 3.178
_cell_length_b 4.478
_cell_length_c 18.037
_cell_angle_alpha 90.00
_cell_angle_beta 90.00
_cell_angle_gamma 90.00
loop_
_atom_site_label
_atom_site_type_symbol
_atom_site_fract_x
_atom_site_fract_y
_atom_site_fract_z
_atom_site_occupancy
Ta1 Ta 0.000 0.000 0.000 1
Ta2 Ta 0.000 0.500 0.372 1
Mo1 Mo 0.000 0.000 0.252 1
Mo2 Mo 0.000 0.000 0.500 1
Mo3 Mo 0.000 0.500 0.126 1
# - Offset from the most stable computed form: 0.047 eV per atom
# - Total energy: -46.91 eV per atom
# - Total moment: 0.00 μB per formula unit


no.,ΔE_f (meV per atom),DOS at the Fermi energy (states/eV/cell)
1,-117,5.87
2,-119,3.97
3,-81,5.66
4,-118,3.09
5,-89,10.89
6,-137,8.34